[1]
Zn2Co2Ge | PBE | optimized geometry

```
data_Zn2Co2Ge
_chemical_formula_sum 'Zn2 Co2 Ge1'
_cell_length_a 3.9802
_cell_length_b 3.9802
_cell_length_c 5.0187
_cell_angle_alpha 89.98
_cell_angle_beta 89.98
_cell_angle_gamma 60.02
_symmetry_space_group_name_H-M 'P 1'
_symmetry_Int_Tables_number 1
loop_
_symmetry_equiv_pos_as_xyz
'x,y,z'
loop_
_atom_site_label
_atom_site_fract_x
_atom_site_fract_y
_atom_site_fract_z
Zn1 0.8332 0.3332 0.6201
Zn2 0.1668 0.6668 0.3799
Co1 0.1667 0.6667 0.8796
Co2 0.8333 0.3333 0.1204
Ge1 0.5000 0.0000 0.0000
```

Results
The formation energy from the elements comes out at -83 meV per atom. The energy relative to the lowest polymorph listed for this composition comes out at 0 meV/atom.

=====

[2]
MgRe2Br | PBE | optimized geometry

```
data_MgRe2Br
_chemical_formula_sum 'Mg1 Re2 Br1'
_cell_length_a 2.9430
_cell_length_b 2.9430
_cell_length_c 9.1981
_cell_angle_alpha 90.00
_cell_angle_beta 90.00
_cell_angle_gamma 115.54
_symmetry_space_group_name_H-M 'P 1'
_symmetry_Int_Tables_number 1
loop_
_symmetry_equiv_pos_as_xyz
'x,y,z'
loop_
_atom_site_label
_atom_site_fract_x
_atom_site_fract_y
_atom_site_fract_z
Br1 0.0000 0.0000 0.5231
Re1 0.0000 0.0000 0.0053
Re2 0.5000 0.5000 0.2181
Mg1 0.5000 0.5000 0.7535
```

Results
The energy relative to the lowest polymorph listed for this composition comes out at 400 meV/atom. The calculation puts the formation energy (no corrections) at 0.555 eV/atom.

=====

[3]
SrDy2Rh | PBE | optimized geometry

```
data_SrDy2Rh
_chemical_formula_sum 'Sr1 Dy2 Rh1'
_cell_length_a 3.9831
_cell_length_b 3.9831
_cell_length_c 11.0118
_cell_angle_alpha 79.58
_cell_angle_beta 79.58
_cell_angle_gamma 60.00
_symmetry_space_group_name_H-M 'P 1'
_symmetry_Int_Tables_number 1
loop_
_symmetry_equiv_pos_as_xyz
'x,y,z'
loop_
_atom_site_label
_atom_site_fract_x
_atom_site_fract_y
_atom_site_fract_z
Dy1 0.8794 0.8794 0.3619
Dy2 0.1206 0.1206 0.6381
Sr1 0.0000 0.0000 0.0000
Rh1 0.5000 0.5000 0.5000
```

Results
The formation energy from the elements comes out at -264 meV per atom. The energy relative to the lowest polymorph listed for this composition comes out at 79 meV/atom.